[1]
# ThFe3I12, optimized geometry, DFT GGA-PBE
data_ThFe3I12
_chemical_formula_sum 'Th2 Fe6 I24'
_symmetry_space_group_name_H-M 'P 63/m'
_symmetry_Int_Tables_number 176
_symmetry_space_group_name_Hall '-P 6c'
_cell_length_a 14.1190
_cell_length_b 14.1190
_cell_length_c 8.3410
_cell_angle_alpha 90.00
_cell_angle_beta 90.00
_cell_angle_gamma 120.00
loop_
_atom_site_label
_atom_site_fract_x
_atom_site_fract_y
_atom_site_fract_z
Th1 0.3333 0.6667 0.2500
Fe1 0.1025 0.6955 0.7500
I1 0.0150 0.8109 0.7500
I2 0.0209 0.5107 0.2500
I3 0.2341 0.4706 0.0019
# total DFT energy (no corrections)	-57.74	eV/f.u.
# density of states at the Fermi level	0.559	states/eV per atom
# uncorrected formation energy	-6.33	eV/f.u.



[2]
# Th4FeI5, optimized geometry, DFT GGA-PBE
data_Th4FeI5
_chemical_formula_sum 'Th8 Fe2 I10'
_symmetry_space_group_name_H-M 'C 1 2/m 1'
_symmetry_Int_Tables_number 12
_cell_length_a 18.8223
_cell_length_b 3.9196
_cell_length_c 9.3330
_cell_angle_alpha 90.00
_cell_angle_beta 99.24
_cell_angle_gamma 90.00
loop_
_symmetry_equiv_pos_as_xyz
'x,y,z'
'-x,-y,-z'
'-x,y,-z'
'x,-y,z'
'x+1/2,y+1/2,z'
'-x+1/2,-y+1/2,-z'
'-x+1/2,y+1/2,-z'
'x+1/2,-y+1/2,z'
loop_
_atom_site_label
_atom_site_fract_x
_atom_site_fract_y
_atom_site_fract_z
Th1 0.0010 0.0000 0.1907
Th2 0.1634 0.5000 0.0504
Fe1 0.0000 0.5000 0.0000
I1 0.0000 0.5000 0.5000
I2 0.1682 0.0000 0.3302
I3 0.1683 0.0000 0.7746
# total DFT energy (no corrections)	-54.25	eV/f.u.
# density of states at the Fermi level	0.644	states/eV per atom
# uncorrected formation energy	-8.36	eV/f.u.



[3]
# Th4Fe2I5, optimized geometry, DFT GGA-PBE
data_Th4Fe2I5
_chemical_formula_sum 'Th8 Fe4 I10'
_symmetry_space_group_name_H-M 'I m m m'
_symmetry_Int_Tables_number 71
_symmetry_space_group_name_Hall '-I 2 2'
_cell_length_a 4.0320
_cell_length_b 9.2193
_cell_length_c 19.6582
_cell_angle_alpha 90.00
_cell_angle_beta 90.00
_cell_angle_gamma 90.00
loop_
_atom_site_label
_atom_site_fract_x
_atom_site_fract_y
_atom_site_fract_z
Th1 0.0000 0.0000 0.1696
Th2 0.0000 0.3042 0.5000
Fe1 0.0000 0.0000 0.0533
I1 0.0000 0.2152 0.3337
I2 0.0000 0.5000 0.0000
# total DFT energy (no corrections)	-60.81	eV/f.u.
# density of states at the Fermi level	0.703	states/eV per atom
# uncorrected formation energy	-6.46	eV/f.u.



[4]
# Th6FeI15, optimized geometry, DFT GGA-PBE
data_Th6FeI15
_chemical_formula_sum 'Th12 Fe2 I30'
_symmetry_space_group_name_H-M 'I m -3 m'
_symmetry_Int_Tables_number 229
_symmetry_space_group_name_Hall '-I 4 2 3'
_cell_length_a 12.3709
_cell_length_b 12.3709
_cell_length_c 12.3709
_cell_angle_alpha 90.00
_cell_angle_beta 90.00
_cell_angle_gamma 90.00
loop_
_atom_site_label
_atom_site_fract_x
_atom_site_fract_y
_atom_site_fract_z
Th1 0.0000 0.0000 0.2276
Fe1 0.0000 0.0000 0.0000
I1 0.0000 0.0000 0.5000
I2 0.0000 0.2527 0.2527
# total DFT energy (no corrections)	-100.48	eV/f.u.
# density of states at the Fermi level	0.527	states/eV per atom
# uncorrected formation energy	-24.24	eV/f.u.



[5]
# ThFe4I12, optimized geometry, DFT GGA-PBE
data_ThFe4I12
_chemical_formula_sum 'Th2 Fe8 I24'
_symmetry_space_group_name_H-M 'I m -3 m'
_symmetry_Int_Tables_number 229
_symmetry_space_group_name_Hall '-I 4 2 3'
_cell_length_a 11.0159
_cell_length_b 11.0159
_cell_length_c 11.0159
_cell_angle_alpha 90.00
_cell_angle_beta 90.00
_cell_angle_gamma 90.00
loop_
_atom_site_label
_atom_site_fract_x
_atom_site_fract_y
_atom_site_fract_z
Th1 0.0000 0.0000 0.0000
Fe1 0.2500 0.2500 0.2500
I1 0.0000 0.2316 0.2316
# total DFT energy (no corrections)	-61.91	eV/f.u.
# density of states at the Fermi level	1.209	states/eV per atom
# uncorrected formation energy	-2.04	eV/f.u.



[6]
# TiFeI2, optimized geometry, DFT GGA-PBE
data_TiFeI2
_chemical_formula_sum 'Ti4 Fe4 I8'
_symmetry_space_group_name_H-M 'F m -3 m'
_symmetry_Int_Tables_number 225
_symmetry_space_group_name_Hall '-F 4 2 3'
_cell_length_a 6.7769
_cell_length_b 6.7769
_cell_length_c 6.7769
_cell_angle_alpha 90.00
_cell_angle_beta 90.00
_cell_angle_gamma 90.00
loop_
_atom_site_label
_atom_site_fract_x
_atom_site_fract_y
_atom_site_fract_z
Ti1 0.0000 0.0000 0.0000
Fe1 0.0000 0.0000 0.5000
I1 0.2500 0.2500 0.2500
# total DFT energy (no corrections)	-16.73	eV/f.u.
# density of states at the Fermi level	0.995	states/eV per atom
# distance to the lowest polymorph of the same formula	213.5	meV per atom
# uncorrected formation energy	2.73	eV/f.u.



Q: The lowest density of states at the Fermi level belongs to which entry?
A: Th6FeI15